[1]
Computed, not measured: crystalline Ce2Mg at its relaxed geometry at the PBEsol level of DFT.

## Properties
The calculation puts the formation energy at 19 kJ/mol of formula units. The space group is No. 194. The excess energy over the best structure of this formula in the dataset comes out at 0.104 eV/f.u. The value obtained for the size of the total moment is 0.0 μB/cell. The total energy is -4.905 eV per atom.

a = 3.028 Å, b = 3.028 Å, c = 17.714 Å
α = 90.00°, β = 90.00°, γ = 120.00°
Fractional positions:
1 Ce 0.333 0.667 0.584
2 Ce 0.333 0.667 0.916
3 Ce 0.667 0.333 0.084
4 Ce 0.667 0.333 0.416
5 Mg 0.667 0.333 0.750
6 Mg 0.333 0.667 0.250

---

[2]
Computed, not measured: crystalline Ce3Mg at its relaxed geometry at the PBEsol level of DFT.

## Properties
The calculation puts the formation energy at 41 kJ/mol of formula units. The space group is No. 25. The value obtained for the size of the total moment is 0.0 μB/cell. The total energy is -5.269 eV per atom.

a = 3.171 Å, b = 5.472 Å, c = 5.616 Å
α = 90.00°, β = 90.00°, γ = 90.00°
Fractional positions:
1 Ce 0.000 0.000 0.971
2 Ce 0.500 0.000 0.434
3 Ce 0.500 0.500 0.885
4 Mg 0.000 0.500 0.376

---

[3]
Computed, not measured: crystalline Ce5Mg at its relaxed geometry at the PBEsol level of DFT.

## Properties
The calculation puts the formation energy at 166 kJ/mol of formula units. The space group is No. 187. The excess energy over the best structure of this formula in the dataset comes out at 0.980 eV/f.u. The value obtained for the size of the total moment is 1.5 μB/cell. The total energy is -5.496 eV per atom.

a = 3.899 Å, b = 3.899 Å, c = 12.404 Å
α = 90.00°, β = 90.00°, γ = 120.00°
Fractional positions:
1 Ce 0.000 0.000 0.800
2 Ce 0.333 0.667 0.314
3 Ce 0.000 0.000 0.500
4 Ce 0.333 0.667 0.686
5 Ce 0.000 0.000 0.200
6 Mg 0.333 0.667 0.000

---

[4]
Computed, not measured: crystalline CeMg2 at its relaxed geometry at the PBEsol level of DFT.

## Properties
The calculation puts the formation energy at 18 kJ/mol of formula units. The space group is No. 194. The value obtained for the size of the total moment is 2.5 μB/cell. The total energy is -3.281 eV per atom.

a = 6.210 Å, b = 6.210 Å, c = 9.071 Å
α = 90.00°, β = 90.00°, γ = 120.00°
Fractional positions:
1 Mg 0.000 0.000 0.000
2 Mg 0.000 0.000 0.500
3 Mg 0.826 0.652 0.250
4 Mg 0.174 0.826 0.750
5 Mg 0.652 0.826 0.750
6 Mg 0.348 0.174 0.250
7 Mg 0.826 0.174 0.250
8 Mg 0.174 0.348 0.750
9 Ce 0.333 0.667 0.101
10 Ce 0.667 0.333 0.601
11 Ce 0.667 0.333 0.899
12 Ce 0.333 0.667 0.399